# 1
A geometry-optimized U2SiP structure, computed with PBE.

As for the uncorrected formation energy: -439 meV/atom. The density of states at the Fermi level comes out at 2.78 states/eV/atom.

The space group is R-3m (No. 166, hexagonal axes) and the conventional cell measures 4.0011, 4.0011 and 19.4225 Å, with angles of 90.00, 90.00 and 120.00 degrees. The asymmetric unit holds U at (0.0000, 0.0000, 0.2473), Si at (0.0000, 0.0000, 0.0000) and P at (0.0000, 0.0000, 0.5000).

---

# 2
A geometry-optimized KBa6Br12 structure, computed with PBE.

As for the uncorrected formation energy: -2052 meV/atom. The density of states at the Fermi level comes out at 0.35 states/eV/atom.

The space group is R-3 (No. 148, hexagonal axes) and the conventional cell measures 14.7003, 14.7003 and 13.1173 Å, with angles of 90.00, 90.00 and 120.00 degrees. The asymmetric unit holds K at (0.0000, 0.0000, 0.0000), Ba at (0.0517, 0.7880, 0.6520), Br at (0.0393, 0.8202, 0.3956) and Br at (0.0486, 0.8254, 0.8972).

---

# 3
A geometry-optimized Rb2HfAuBr6 structure, computed with PBE.

As for the uncorrected formation energy: -1184 meV/atom. The density of states at the Fermi level comes out at 0.42 states/eV/atom.

The space group is I4/mmm (No. 139) and the conventional cell measures 8.2311, 8.2311 and 11.0198 Å, with angles of 90.00, 90.00 and 90.00 degrees. The asymmetric unit holds Rb at (0.0000, 0.5000, 0.2500), Hf at (0.0000, 0.0000, 0.0000), Au at (0.0000, 0.0000, 0.5000), Br at (0.0000, 0.0000, 0.2406) and Br at (0.2260, 0.2260, 0.0000).

---

# 4
A geometry-optimized Mn2TcTe structure, computed with PBE.

As for the uncorrected formation energy: 319 meV/atom. The density of states at the Fermi level comes out at 0.94 states/eV/atom.

The space group is P4mm (No. 99) and the conventional cell measures 3.3115, 3.3115 and 5.7443 Å, with angles of 90.00, 90.00 and 90.00 degrees. The asymmetric unit holds Mn at (0.0000, 0.0000, 0.0000), Mn at (0.5000, 0.5000, 0.2219), Tc at (0.0000, 0.0000, 0.4501) and Te at (0.5000, 0.5000, 0.7373).

---

# 5
A geometry-optimized PtSeF structure, computed with PBE.

As for the uncorrected formation energy: -656 meV/atom. The calculation puts the excess energy over the best structure of this formula in the dataset at 0 meV/atom. The density of states at the Fermi level comes out at 0.81 states/eV/atom.

The space group is P3m1 (No. 156) and the conventional cell measures 3.6527, 3.6527 and 4.6091 Å, with angles of 90.00, 90.00 and 120.00 degrees. The asymmetric unit holds Pt at (0.0000, 0.0000, 0.0000), Se at (0.6667, 0.3333, 0.2588) and F at (0.3333, 0.6667, 0.7429).

---

# 6
A geometry-optimized La3Ho4Sc2 structure, computed with PBE.

The calculation puts the excess energy over the best structure of this formula in the dataset at 0 meV/atom. For the formation energy from the elements, the calculation gives 0.142 eV/atom. The density of states at the Fermi level comes out at 1.53 states/eV/atom.

The space group is P-1 (No. 2) and the conventional cell measures 6.3018, 9.6062 and 9.9289 Å, with angles of 84.18, 79.23 and 78.00 degrees. The asymmetric unit holds La at (0.0088, 0.3278, 0.4499), La at (0.2503, 0.0379, 0.9596), La at (0.4828, 0.4692, 0.3377), Ho at (0.0114, 0.6255, 0.2019), Ho at (0.0366, 0.0048, 0.6692), Ho at (0.3938, 0.3648, 0.9873), Ho at (0.4988, 0.8312, 0.4140), Sc at (0.1107, 0.7006, 0.8715) and Sc at (0.4132, 0.1545, 0.2584).

---

# 7
A geometry-optimized BaLiAgCl6 structure, computed with PBE.

As for the uncorrected formation energy: -1298 meV/atom.

The space group is P1 (No. 1) and the conventional cell measures 6.1386, 6.6333 and 7.0781 Å, with angles of 88.75, 72.76 and 76.76 degrees. The asymmetric unit holds Ba at (0.0000, 0.0000, 0.0000), Li at (0.5898, 0.5664, 0.8627), Ag at (0.3061, 0.6101, 0.3820), Cl at (0.2180, 0.4950, 0.1032), Cl at (0.4163, 0.7607, 0.6285), Cl at (0.5301, 0.9016, 0.0098), Cl at (0.6208, 0.3212, 0.3500), Cl at (0.9774, 0.3930, 0.7767) and Cl at (0.9793, 0.8952, 0.4437).

---

# 8
A geometry-optimized CePd6 structure, computed with PBE.

For the formation energy from the elements, the calculation gives 0.932 eV/atom. The density of states at the Fermi level comes out at 2.48 states/eV/atom.

The space group is Pm-3m (No. 221) and the conventional cell measures 6.0264, 6.0264 and 6.0264 Å, with angles of 90.00, 90.00 and 90.00 degrees. The asymmetric unit holds Ce at (0.0000, 0.0000, 0.0000) and Pd at (0.1959, 0.5000, 0.5000).

---

| no. | total magnetic moment (μB per formula unit) |
| --- | --- |
| 1 | 3.97 |
| 2 | 0.00 |
| 3 | 0.00 |
| 4 | 6.04 |
| 5 | 0.00 |
| 6 | 0.00 |
| 7 | 0.00 |
| 8 | 1.45 |